[1]
Density functional theory data (PBE-GGA) for a geometry-optimized DyHoFe2B2N2 structure.

Its crystal system is tetragonal. Its uncorrected energy is -8.01 eV per atom.

Cell: 3.436 3.436 7.693 Å, 90.00 90.00 90.00°
Space group P4mm (No. 99)
Asymmetric unit:
Dy: 0.000 0.000 0.000 [1 per cell]
Ho: 0.500 0.500 0.330 [1 per cell]
Fe: 0.000 0.500 0.665 [2 per cell]
B: 0.000 0.000 0.500 [1 per cell]
B: 0.500 0.500 0.831 [1 per cell]
N: 0.000 0.000 0.306 [1 per cell]
N: 0.500 0.500 0.025 [1 per cell]

***

[2]
Density functional theory data (PBE-GGA) for a geometry-optimized DyHoFe2Ni6B2 structure.

The energy above the most stable polymorph in this dataset comes out at 0.0 meV/atom. Its crystal system is hexagonal.

Cell: 5.0080 5.0080 7.0024 Å, 90.00 90.00 120.00°
Space group P6/mmm (No. 191)
Asymmetric unit:
Dy: 0.0000 0.0000 0.0000 [1 per cell]
Ho: 0.0000 0.0000 0.5000 [1 per cell]
Fe: 0.3333 0.6667 0.0000 [2 per cell]
Ni: 0.0000 0.5000 0.2931 [6 per cell]
B: 0.3333 0.6667 0.5000 [2 per cell]

***

[3]
Density functional theory data (PBE-GGA) for a geometry-optimized DyHoFe6Ni2B2 structure.

The energy above the most stable polymorph in this dataset comes out at 3.0 meV/atom. Its crystal system is hexagonal.

Cell: 5.0027 5.0027 7.0604 Å, 90.00 90.00 120.00°
Space group P6/mmm (No. 191)
Asymmetric unit:
Dy: 0.0000 0.0000 0.0000 [1 per cell]
Ho: 0.0000 0.0000 0.5000 [1 per cell]
Fe: 0.0000 0.5000 0.2136 [6 per cell]
Ni: 0.3333 0.6667 0.5000 [2 per cell]
B: 0.3333 0.6667 0.0000 [2 per cell]

***

[4]
Density functional theory data (PBE-GGA) for a geometry-optimized DyHoFe6Ni2B2 structure.

The energy above the most stable polymorph in this dataset comes out at 0.0 meV/atom. Its crystal system is hexagonal.

Cell: 5.0064 5.0064 7.0581 Å, 90.00 90.00 120.00°
Space group P6/mmm (No. 191)
Asymmetric unit:
Dy: 0.0000 0.0000 0.0000 [1 per cell]
Ho: 0.0000 0.0000 0.5000 [1 per cell]
Fe: 0.0000 0.5000 0.2869 [6 per cell]
Ni: 0.3333 0.6667 0.0000 [2 per cell]
B: 0.3333 0.6667 0.5000 [2 per cell]

***

[5]
Density functional theory data (PBE-GGA) for a geometry-optimized DyHoFe2Ni6B2 structure.

The energy above the most stable polymorph in this dataset comes out at 2.1 meV/atom. Its crystal system is hexagonal.

Cell: 5.0116 5.0116 6.9991 Å, 90.00 90.00 120.00°
Space group P6/mmm (No. 191)
Asymmetric unit:
Dy: 0.0000 0.0000 0.0000 [1 per cell]
Ho: 0.0000 0.0000 0.5000 [1 per cell]
Fe: 0.3333 0.6667 0.5000 [2 per cell]
Ni: 0.0000 0.5000 0.2069 [6 per cell]
B: 0.3333 0.6667 0.0000 [2 per cell]

***

[6]
Density functional theory data (PBE-GGA) for a geometry-optimized Dy2Fe2B4Ir3 structure.

Its crystal system is orthorhombic. Its uncorrected energy is -7.80 eV per atom.

Cell: 5.359 9.596 11.346 Å, 90.00 90.00 90.00°
Space group Fmmm (No. 69)
Asymmetric unit:
Dy: 0.000 0.000 0.139 [8 per cell]
Fe: 0.250 0.250 0.000 [8 per cell]
B: 0.000 0.166 0.376 [16 per cell]
Ir: 0.000 0.000 0.500 [4 per cell]
Ir: 0.250 0.250 0.250 [8 per cell]

***

[7]
Density functional theory data (PBE-GGA) for a geometry-optimized Dy2Fe4B4Ir structure.

Its crystal system is orthorhombic. Its uncorrected energy is -7.60 eV per atom.

Cell: 5.069 9.657 10.931 Å, 90.00 90.00 90.00°
Space group Fmmm (No. 69)
Asymmetric unit:
Dy: 0.000 0.000 0.148 [8 per cell]
Fe: 0.250 0.250 0.000 [8 per cell]
Fe: 0.250 0.250 0.250 [8 per cell]
B: 0.000 0.162 0.364 [16 per cell]
Ir: 0.000 0.000 0.500 [4 per cell]

***

[8]
Density functional theory data (PBE-GGA) for a geometry-optimized Dy2Fe2B4Ir3 structure.

Its crystal system is orthorhombic. Its uncorrected energy is -7.80 eV per atom.

Cell: 5.344 9.588 11.083 Å, 90.00 90.00 90.00°
Space group Fmmm (No. 69)
Asymmetric unit:
Dy: 0.000 0.000 0.146 [8 per cell]
Fe: 0.250 0.250 0.250 [8 per cell]
B: 0.000 0.161 0.359 [16 per cell]
Ir: 0.000 0.000 0.500 [4 per cell]
Ir: 0.250 0.250 0.000 [8 per cell]

***

no.,calculated volume (Å³/atom)
1,11.35
2,12.67
3,12.75
4,12.77
5,12.69
6,13.26
7,12.16
8,12.91